AcPr7Sm2 | GGA-PBE | optimized geometry

Values from the calculation:
* DOS(E_F): 14.8 states/eV per cell
* E_tot: -45.2 eV per cell
* energy of formation from the pure elements: 0.18 eV per atom

```
AcPr7Sm2
1.0
-2.842 3.958 8.409
2.842 -3.958 8.409
2.842 3.958 -8.409
Ac Pr Sm
1 7 2
Direct
0.000 0.000 0.000
0.070 0.369 0.701
0.333 0.631 0.701
0.346 0.846 0.500
0.500 0.500 0.000
0.654 0.154 0.500
0.667 0.369 0.299
0.930 0.631 0.299
0.214 0.214 0.000
0.786 0.786 0.000
```